Here is a geometry-optimized NaMnCoO3 structure from Alexandria. Energies are from PBE with a Hubbard U.

Computed properties:
The energy comes out at -6.05 eV/atom. The theoretical density comes out at 3.88 g/cm³.

a = 5.4621 Å, b = 5.4068 Å, c = 6.0052 Å
α = 116.75°, β = 90.00°, γ = 90.00°
With the nearest neighbours (Å) after each atom.
Fractional coordinates of all 12 atoms:
Co  0.2500  0.4255  0.8510  5 O 1.82-2.04
Co  0.7500  0.5745  0.1490  5 O 1.82-2.04
Na  0.7500  0.2658  0.5316  4 O 2.71-2.73
Na  0.2500  0.7342  0.4684  4 O 2.71-2.73
O  0.5000  0.2620  0.0000  2 Co 2.04, 2 Mn 2.07
O  0.0000  0.2620  0.0000  2 Co 2.04, 2 Mn 2.07
O  0.5000  0.7380  0.0000  2 Co 2.04, 2 Mn 2.07
O  0.2500  0.2554  0.5108  1 Co 1.82
O  0.0000  0.7380  0.0000  2 Co 2.04, 2 Mn 2.07
O  0.7500  0.7446  0.4892  1 Co 1.82
Mn  0.2500  0.0610  0.1220  5 O 2.07-2.08
Mn  0.7500  0.9390  0.8780  5 O 2.07-2.08